Ba2LaBi (PBE, relaxed); energy of formation from the pure elements = -0.1652 eV per atom
1.0
-2.552 5.789 -8.023
-8.287 -5.776 -1.532
-7.262 2.094 -2.685
La Ba Bi
2 4 2
Direct
0.500 0.500 0.000
0.250 0.750 0.500
0.667 0.125 0.250
0.875 0.917 0.750
0.083 0.625 0.250
0.375 0.333 0.750
0.000 0.000 0.000
0.750 0.250 0.500

---

Cd2InSe (PBE, relaxed); raw formation energy = -0.10 eV/atom; excess energy over the best structure of this formula in the dataset = 88 meV per atom
1.0
6.564 -0.020 -0.020
-3.967 5.230 -0.020
1.222 2.451 2.940
In Cd Se
1 2 1
Direct
0.500 0.000 0.500
0.500 0.500 0.000
0.000 0.000 0.000
0.000 0.500 0.500

---

ZrBePdPt2 (PBE, relaxed); energy of formation from the pure elements = 1.1104 eV per atom
1.0
4.908 0.000 0.000
0.000 4.585 0.000
0.000 0.000 4.908
Pt Zr Pd Be
2 1 1 1
Direct
0.500 0.000 0.000
0.000 0.000 0.500
0.000 0.000 0.000
0.500 0.500 0.500
0.000 0.500 0.000

---

SrLaCo2 (PBE, relaxed); energy of formation from the pure elements = 0.0768 eV per atom; excess energy over the best structure of this formula in the dataset = 0 meV per atom
1.0
4.112 0.000 0.000
0.000 4.237 0.001
0.000 2.115 5.939
Co Sr La
2 1 1
Direct
0.000 0.149 0.076
0.500 0.077 0.222
0.500 0.771 0.833
0.000 0.503 0.369

---

Number 1: raw total energy -3.33 eV/atom. Number 2: raw total energy -2.11 eV/atom. Number 3: raw total energy -4.80 eV/atom. Number 4: raw total energy -5.13 eV/atom.